No. 1
TbCuPdPt GGA-PBE relaxed; raw total energy = -5.635 eV per atom; calculated density = 12.24 g/cm³; ΔE_f = -0.6449 eV/atom; space group = No. 216; DOS at the Fermi energy = 1.987 states/eV/cell
1.0
-1.277 -4.470 0.036
2.927 -3.266 -1.543
1.973 -2.957 2.996
Tb Pt Cu Pd
1 1 1 1
Direct
0.500 0.500 0.500
0.250 0.250 0.250
0.000 0.000 0.000
0.750 0.750 0.750

No. 2
CuTe4PdPt GGA-PBE relaxed; raw total energy = -4.247 eV per atom; raw formation energy = -0.26 eV per atom; calculated density = 8.08 g/cm³; space group = No. 74; DOS at the Fermi energy = 8.234 states/eV/cell
1.0
-5.611 -1.115 -5.685
-1.215 -7.272 -3.096
-6.639 -4.144 1.644
Te Pd Pt Cu
8 2 2 2
Direct
0.759 0.223 0.259
0.778 0.239 0.739
0.241 0.777 0.741
0.222 0.761 0.261
0.759 0.759 0.723
0.755 0.761 0.261
0.241 0.241 0.277
0.245 0.239 0.739
0.000 0.500 0.500
0.000 0.000 0.000
0.500 0.000 0.500
0.000 0.000 0.500
0.617 0.633 0.133
0.383 0.367 0.867

No. 3
TiCuPdPt GGA-PBE relaxed; raw total energy = -6.457 eV per atom; calculated density = 11.79 g/cm³; ΔE_f = -0.6511 eV/atom; space group = No. 119; DOS at the Fermi energy = 2.300 states/eV/cell
1.0
-3.669 1.359 -0.524
-1.368 -2.729 2.503
2.991 3.055 1.853
Cu Pt Ti Pd
1 1 1 1
Direct
0.250 0.750 0.500
0.000 0.000 0.000
0.750 0.250 0.500
0.500 0.500 0.000

No. 4
Ti2CuPdPt5 GGA-PBE relaxed; raw total energy = -6.269 eV per atom; calculated density = 13.75 g/cm³; ΔE_f = -0.1261 eV/atom; space group = No. 140; DOS at the Fermi energy = 13.743 states/eV/cell
1.0
7.399 0.000 0.000
0.000 7.399 0.000
-3.699 -3.699 5.478
Pt Ti Pd Cu
10 4 2 2
Direct
0.000 0.000 0.000
0.422 0.341 0.263
0.578 0.659 0.737
0.841 0.922 0.263
0.078 0.578 0.737
0.500 0.500 0.000
0.159 0.078 0.737
0.341 0.841 0.263
0.659 0.159 0.737
0.922 0.422 0.263
0.386 0.886 0.000
0.114 0.386 0.000
0.886 0.614 0.000
0.614 0.114 0.000
0.750 0.250 0.500
0.250 0.750 0.500
0.750 0.750 0.500
0.250 0.250 0.500

No. 5
TiCuPdPt GGA-PBE relaxed; raw total energy = -6.375 eV per atom; calculated density = 11.63 g/cm³; ΔE_f = -0.5685 eV/atom; space group = No. 216; DOS at the Fermi energy = 3.349 states/eV/cell
1.0
-2.284 1.106 3.555
-2.545 -2.955 1.967
1.128 -1.599 3.905
Pd Ti Cu Pt
1 1 1 1
Direct
0.500 0.500 0.500
0.250 0.250 0.250
0.750 0.750 0.750
0.000 0.000 0.000

No. 6
UCuPdPt GGA-PBE relaxed; raw total energy = -6.987 eV per atom; calculated density = 13.96 g/cm³; ΔE_f = -0.3325 eV/atom; space group = No. 216; DOS at the Fermi energy = 5.631 states/eV/cell
1.0
4.664 0.000 0.000
2.332 4.039 0.000
2.332 1.346 3.808
Pd Pt Cu U
1 1 1 1
Direct
0.750 0.750 0.750
0.250 0.250 0.250
0.500 0.500 0.500
0.000 0.000 0.000

No. 7
V2CuPdPt5 GGA-PBE relaxed; raw total energy = -6.349 eV per atom; calculated density = 14.44 g/cm³; ΔE_f = 0.0650 eV/atom; space group = No. 140; DOS at the Fermi energy = 16.891 states/eV/cell
1.0
-3.157 1.400 5.481
5.277 -1.533 3.431
1.091 6.542 -4.871
Pd Pt Cu V
2 10 2 4
Direct
0.750 0.250 0.500
0.250 0.750 0.500
0.919 0.419 0.259
0.419 0.340 0.259
0.660 0.160 0.741
0.160 0.081 0.741
0.840 0.919 0.259
0.581 0.660 0.741
0.081 0.581 0.741
0.000 0.000 0.000
0.340 0.840 0.259
0.500 0.500 0.000
0.750 0.750 0.500
0.250 0.250 0.500
0.884 0.616 0.000
0.384 0.884 0.000
0.116 0.384 0.000
0.616 0.116 0.000

No. 8
Y2Cu2PdPt5 GGA-PBE relaxed; raw total energy = -6.383 eV per atom; calculated density = 13.47 g/cm³; ΔE_f = -0.7317 eV/atom; space group = No. 127; DOS at the Fermi energy = 14.268 states/eV/cell
1.0
-1.677 -0.645 -3.565
-7.109 -4.263 4.116
-4.472 8.077 0.642
Y Pt Pd Cu
4 10 2 4
Direct
0.000 0.820 0.680
0.000 0.680 0.180
0.000 0.180 0.320
0.000 0.320 0.820
0.500 0.933 0.206
0.500 0.067 0.794
0.500 0.567 0.706
0.500 0.206 0.067
0.500 0.000 0.500
0.500 0.500 0.000
0.500 0.706 0.433
0.500 0.794 0.933
0.500 0.433 0.294
0.500 0.294 0.567
0.000 0.500 0.500
0.000 0.000 0.000
0.000 0.618 0.882
0.000 0.382 0.118
0.000 0.118 0.618
0.000 0.882 0.382

No. 9
Zn4CuPdPt GGA-PBE relaxed; raw total energy = -3.028 eV per atom; calculated density = 8.08 g/cm³; ΔE_f = -0.1100 eV/atom; space group = No. 63; DOS at the Fermi energy = 5.321 states/eV/cell
1.0
-3.001 7.088 -3.475
-2.668 -2.624 -3.049
-3.264 -3.525 5.890
Zn Pd Pt Cu
8 2 2 2
Direct
0.000 0.000 0.500
0.447 0.750 0.894
0.553 0.250 0.106
0.500 0.000 0.500
0.942 0.250 0.884
0.000 0.500 0.500
0.500 0.500 0.500
0.058 0.750 0.116
0.860 0.750 0.720
0.140 0.250 0.280
0.646 0.750 0.292
0.354 0.250 0.708
0.748 0.250 0.495
0.252 0.750 0.505

No. 10
ZnCu2Pd5Pt GGA-PBE relaxed; raw total energy = -4.534 eV per atom; calculated density = 10.86 g/cm³; ΔE_f = 0.0742 eV/atom; space group = No. 140; DOS at the Fermi energy = 16.047 states/eV/cell
1.0
-2.224 -1.341 5.587
4.741 -3.814 0.971
2.647 8.170 -0.382
Pd Pt Cu Zn
10 2 4 2
Direct
0.591 0.627 0.719
0.409 0.373 0.281
0.373 0.873 0.281
0.091 0.591 0.719
0.909 0.409 0.281
0.873 0.909 0.281
0.127 0.091 0.719
0.627 0.127 0.719
0.500 0.500 0.000
0.000 0.000 0.000
0.250 0.750 0.500
0.750 0.250 0.500
0.876 0.624 0.000
0.124 0.376 0.000
0.624 0.124 0.000
0.376 0.876 0.000
0.250 0.250 0.500
0.750 0.750 0.500

No. 11
Zn2CuPd5Pt GGA-PBE relaxed; raw total energy = -4.283 eV per atom; calculated density = 10.64 g/cm³; ΔE_f = 0.0114 eV/atom; space group = No. 140; DOS at the Fermi energy = 14.188 states/eV/cell
1.0
6.274 0.000 0.000
0.000 6.274 0.000
-3.137 -3.137 7.310
Pt Zn Cu Pd
2 4 2 10
Direct
0.250 0.750 0.500
0.750 0.250 0.500
0.630 0.130 0.000
0.130 0.370 0.000
0.870 0.630 0.000
0.370 0.870 0.000
0.750 0.750 0.500
0.250 0.250 0.500
0.000 0.000 0.000
0.115 0.093 0.709
0.885 0.907 0.291
0.615 0.115 0.709
0.593 0.615 0.709
0.500 0.500 0.000
0.385 0.885 0.291
0.907 0.407 0.291
0.407 0.385 0.291
0.093 0.593 0.709